Density functional theory data (PBE) for a geometry-optimized WBr2 structure.

Unit cell a=8.102 b=8.102 c=8.102 alpha=90.00 beta=90.00 gamma=90.00
Space group Fd-3m (No. 227, origin choice 2)
Asymmetric unit:
W (0.125, 0.125, 0.125) x8
Br (0.000, 0.000, 0.500) x16

Output
raw formation energy = 689 kJ/mol of formula units
uncorrected energy = -3.05 eV/atom
calculated density = 8.6 Mg/m³

---

Density functional theory data (PBE) for a geometry-optimized La2ThPd3 structure.

Unit cell a=13.503 b=6.011 c=8.464 alpha=90.00 beta=108.26 gamma=90.00
Space group C2/c (No. 15)
Asymmetric unit:
La (0.166, 0.001, 0.083) x8
Th (0.000, 0.499, 0.250) x4
Pd (0.000, 0.001, 0.750) x4
Pd (0.159, 0.499, 0.580) x8

Output
uncorrected energy = -6.21 eV/atom
calculated density = 8.4 Mg/m³
energy of formation = -0.735 eV per atom

---

Density functional theory data (PBE) for a geometry-optimized Li3EuCd structure.

Unit cell a=5.166 b=5.166 c=5.166 alpha=90.00 beta=90.00 gamma=90.00
Space group Pm-3m (No. 221)
Asymmetric unit:
Li (0.000, 0.000, 0.500) x3
Eu (0.500, 0.500, 0.500) x1
Cd (0.000, 0.000, 0.000) x1

Output
uncorrected energy = -3.35 eV/atom
calculated density = 3.4 Mg/m³
energy of formation = 0.035 eV per atom

---

Density functional theory data (PBE) for a geometry-optimized V4FeMo structure.

Unit cell a=9.072 b=2.568 c=8.124 alpha=90.00 beta=118.66 gamma=90.00
Space group C2/m (No. 12)
Asymmetric unit:
V (0.149, 0.000, 0.357) x4
V (0.169, 0.500, 0.821) x4
Fe (0.000, 0.500, 0.500) x2
Mo (0.000, 0.000, 0.000) x2

Output
uncorrected energy = -9.01 eV/atom
calculated density = 7.1 Mg/m³
energy of formation = 0.282 eV per atom

---

Density functional theory data (PBE) for a geometry-optimized Ce2SmPtN4 structure.

Unit cell a=3.470 b=11.832 c=11.914 alpha=90.00 beta=90.00 gamma=90.00
Space group Cmcm (No. 63)
Asymmetric unit:
Ce (0.000, 0.129, 0.053) x8
Sm (0.000, 0.386, 0.250) x4
Pt (0.000, 0.351, 0.750) x4
N (0.000, 0.040, 0.250) x4
N (0.000, 0.225, 0.616) x8
N (0.000, 0.500, 0.000) x4

Output
raw formation energy = -763 kJ/mol of formula units
uncorrected energy = -7.98 eV/atom
calculated density = 9.3 Mg/m³